The following is a DFT calculation (PBE-GGA) of a relaxed Li2Ag5Ge2 crystal.

The calculation puts the total energy at -3.100 eV per atom. As for the volume: 17.53 A^3/atom. For the total moment, the calculation gives 0.000 μB/atom. The energy relative to the elements comes out at -0.578 eV/f.u.

The space group is Cc (No. 9) and the conventional cell measures 12.460, 10.814 and 4.784 Å, with angles of 90.00, 101.78 and 90.00 degrees. The asymmetric unit holds Li at (0.000, 0.152, 0.000), Li at (0.206, 0.292, 0.997), Ag at (0.017, 0.420, 0.011), Ag at (0.127, 0.080, 0.590), Ag at (0.211, 0.425, 0.479), Ag at (0.315, 0.077, 0.087), Ag at (0.397, 0.422, 0.939), Ge at (0.016, 0.301, 0.508) and Ge at (0.319, 0.203, 0.590).

***

The following is a DFT calculation (PBE-GGA) of a relaxed LiAg4Ge crystal.

The calculation puts the total energy at -3.008 eV per atom. As for the volume: 17.26 A^3/atom. For the total moment, the calculation gives 0.000 μB/atom. The energy relative to the elements comes out at -0.109 eV/f.u.

The space group is Pnc2 (No. 30) and the conventional cell measures 5.276, 7.288 and 5.387 Å, with angles of 90.00, 90.00 and 90.00 degrees. The asymmetric unit holds Li at (0.000, 0.000, 0.000), Ag at (0.244, 0.174, 0.376), Ag at (0.246, 0.674, 0.126) and Ge at (0.500, 0.000, 0.001).

***

The following is a DFT calculation (PBE-GGA) of a relaxed LiAg2Ge2 crystal.

The calculation puts the total energy at -3.270 eV per atom. As for the volume: 19.59 A^3/atom. For the total moment, the calculation gives 0.000 μB/atom. The energy relative to the elements comes out at 0.500 eV/f.u.

The space group is I4/mmm (No. 139) and the conventional cell measures 3.743, 3.743 and 13.983 Å, with angles of 90.00, 90.00 and 90.00 degrees. The asymmetric unit holds Li at (0.000, 0.000, 0.000), Ag at (0.000, 0.000, 0.403) and Ge at (0.000, 0.500, 0.250).